No. 1
# GdDyPd

Crystalline GdDyPd at its relaxed geometry (PBE, OQMD via LeMat-Bulk).

abc: 4.8883 4.8883 4.8883
angles: 60.00 60.00 60.00
With the nearest neighbours (Å) after each atom.
Fractional coordinates of all 3 atoms:
Dy: 0.2500 0.2500 0.2500  4 Pd 2.99
Gd: 0.7500 0.7500 0.7500  4 Pd 2.99
Pd: 0.0000 0.0000 0.0000  4 Dy 2.99, 4 Gd 2.99

Values from the calculation:
The formation energy comes out at -0.463 eV per atom. Its energy relative to the lowest polymorph listed for this composition is 0 meV per atom. The spin magnetization comes out at 0.02 μB/f.u. Its symmetry is No. 216.

=====

No. 2
# YTlCoTc

Crystalline YTlCoTc at its relaxed geometry (PBE, OQMD via LeMat-Bulk).

abc: 4.7099 4.7099 4.7099
angles: 60.00 60.00 60.00
With the nearest neighbours (Å) after each atom.
Fractional coordinates of all 4 atoms:
Co: 0.7500 0.7500 0.7500  4 Y 2.88, 4 Tl 2.88
Tc: 0.2500 0.2500 0.2500  4 Y 2.88, 4 Tl 2.88
Tl: 0.0000 0.0000 0.0000  4 Tc 2.88, 4 Co 2.88
Y: 0.5000 0.5000 0.5000  4 Tc 2.88, 4 Co 2.88

Values from the calculation:
Its energy relative to the lowest polymorph listed for this composition is 0 meV per atom. The spin magnetization comes out at 1.74 μB/f.u. Its symmetry is No. 216.

=====

No. 3
# Li4ReSi2

Crystalline Li4ReSi2 at its relaxed geometry (PBE, OQMD via LeMat-Bulk).

abc: 5.6416 5.6416 4.4839
angles: 90.00 90.00 132.21
With the nearest neighbours (Å) after each atom.
Fractional coordinates of all 7 atoms:
Li: 0.7490 0.2510 0.0000  2 Li 2.29
Li: 0.5000 0.5000 0.0000  2 Re 2.29, 4 Si 2.54
Li: 0.2510 0.7490 0.0000  2 Li 2.29
Li: 0.0000 0.0000 0.5000  2 Re 2.24
Re: 0.0000 0.0000 0.0000  4 Li 2.24-2.29
Si: 0.6164 0.3836 0.5000  1 Si 2.40, 6 Li 2.54-2.63
Si: 0.3836 0.6164 0.5000  1 Si 2.40, 6 Li 2.54-2.63

Values from the calculation:
The value obtained for the electronic total energy is -3.581 eV per atom. The spin magnetization comes out at 0.28 μB/f.u. Its symmetry is No. 65.

=====

No. 4
# Cs2TbAs2

Crystalline Cs2TbAs2 at its relaxed geometry (PBE, OQMD via LeMat-Bulk).

abc: 9.2112 9.2112 9.2112
angles: 128.45 73.53 131.43
With the nearest neighbours (Å) after each atom.
Fractional coordinates of all 10 atoms:
As: 0.4020 0.6886 0.0906  2 Tb 2.82
As: 0.0980 0.1886 0.2866  2 Tb 2.82
As: 0.9020 0.8114 0.7134  2 Tb 2.82
As: 0.5980 0.3114 0.9094  2 Tb 2.82
Cs: 0.8444 0.3559 0.2003  3 As 3.65-3.98
Cs: 0.3444 0.1441 0.4886  3 As 3.65-3.98
Cs: 0.6556 0.8559 0.5114  3 As 3.65-3.98
Cs: 0.1556 0.6441 0.7997  3 As 3.65-3.98
Tb: 0.2500 0.2500 0.0000  4 As 2.82
Tb: 0.7500 0.7500 0.0000  4 As 2.82

Values from the calculation:
The value obtained for the electronic total energy is -3.737 eV per atom. The spin magnetization comes out at 0.34 μB/f.u. Its symmetry is No. 72.

=====

No. 5
# LaTb2Mg3TlIn2

Crystalline LaTb2Mg3TlIn2 at its relaxed geometry (PBE, OQMD via LeMat-Bulk).

abc: 4.7278 7.6718 7.6718
angles: 120.87 90.00 90.00
With the nearest neighbours (Å) after each atom.
Fractional coordinates of all 9 atoms:
In: 0.5000 0.6732 0.3302  3 Mg 2.91-2.99, 4 Tb 3.25
In: 0.5000 0.3302 0.6732  3 Mg 2.91-2.99, 4 Tb 3.25
La: 0.0000 0.4324 0.4324  4 In 3.33, 1 Tl 3.34, 6 Mg 3.41-3.71
Mg: 0.5000 0.2423 0.0000  2 In 2.91-2.96, 2 Tl 3.03, 2 Mg 3.20-3.23
Mg: 0.5000 0.0000 0.2423  2 In 2.91-2.96, 2 Tl 3.03, 2 Mg 3.20-3.23
Mg: 0.5000 0.7564 0.7564  2 Tl 2.96, 2 In 2.99, 2 Mg 3.20
Tb: 0.0000 0.5731 0.0017  4 In 3.25, 1 Tl 3.25, 2 Mg 3.46
Tb: 0.0000 0.0017 0.5731  4 In 3.25, 1 Tl 3.25, 2 Mg 3.46
Tl: 0.0000 0.9908 0.9908  6 Mg 2.96-3.03, 2 Tb 3.25

Values from the calculation:
The value obtained for the electronic total energy is -3.353 eV per atom. The spin magnetization comes out at 0.01 μB/f.u. Its symmetry is No. 38.

=====

No. 6
# Sr2Sm

Crystalline Sr2Sm at its relaxed geometry (PBE, OQMD via LeMat-Bulk).

abc: 6.1998 6.1998 6.1998
angles: 60.00 60.00 60.00
With the nearest neighbours (Å) after each atom.
Fractional coordinates of all 3 atoms:
Sm: 0.0000 0.0000 0.0000  8 Sr 3.80
Sr: 0.2500 0.2500 0.2500  4 Sm 3.80
Sr: 0.7500 0.7500 0.7500  4 Sm 3.80

Values from the calculation:
Its energy relative to the lowest polymorph listed for this composition is 252 meV per atom. The spin magnetization comes out at 0.60 μB/f.u. Its symmetry is No. 225.

=====

No. 7
# Fe3Co2

Crystalline Fe3Co2 at its relaxed geometry (PBE, OQMD via LeMat-Bulk).

abc: 5.9046 5.9046 5.2970
angles: 123.87 56.13 120.00
With the nearest neighbours (Å) after each atom.
Fractional coordinates of all 10 atoms:
Co: 0.5927 0.4073 0.2219  1 Co 2.25, 6 Fe 2.26-2.41
Co: 0.9073 0.0927 0.2781  1 Co 2.25, 6 Fe 2.26-2.41
Co: 0.0927 0.9073 0.7219  1 Co 2.25, 6 Fe 2.26-2.41
Co: 0.4073 0.5927 0.7781  1 Co 2.25, 6 Fe 2.26-2.41
Fe: 0.2500 0.9995 0.2500  4 Co 2.26-2.41
Fe: 0.4995 0.7500 0.2500  4 Co 2.26-2.41
Fe: 0.0005 0.5005 0.2500  4 Co 2.26-2.41
Fe: 0.9995 0.4995 0.7500  4 Co 2.26-2.41
Fe: 0.5005 0.2500 0.7500  4 Co 2.26-2.41
Fe: 0.7500 0.0005 0.7500  4 Co 2.26-2.41

Values from the calculation:
The formation energy comes out at 0.407 eV per atom. The spin magnetization comes out at 10.73 μB/f.u. Its symmetry is No. 167.

=====

No. 8
# SiAg8S2O4

Crystalline SiAg8S2O4 at its relaxed geometry (PBE, OQMD via LeMat-Bulk).

abc: 11.0424 7.3755 7.3755
angles: 90.00 109.51 109.51
With the nearest neighbours (Å) after each atom.
Fractional coordinates of all 30 atoms:
Ag: 0.5531 0.7765 0.0265  2 O 2.25, 1 S 2.34
Ag: 0.2500 0.3251 0.1749  2 O 2.64, 2 S 2.69, 4 Ag 2.85-2.95
Ag: 0.2500 0.9249 0.1749  2 O 2.64, 2 S 2.69, 4 Ag 2.85-2.95
Ag: 0.0498 0.0249 0.2749  1 S 2.50
Ag: 0.0531 0.5265 0.2765  2 O 2.25, 1 S 2.34
Ag: 0.7500 0.0751 0.4249  2 O 2.64, 2 S 2.69, 4 Ag 2.85-2.95
Ag: 0.7500 0.6749 0.4249  2 O 2.64, 2 S 2.69, 4 Ag 2.85-2.95
Ag: 0.4502 0.2251 0.4751  1 S 2.50
Ag: 0.5498 0.7749 0.5249  1 S 2.50
Ag: 0.2500 0.3251 0.5751  2 O 2.64, 2 S 2.69, 4 Ag 2.85-2.95
Ag: 0.2500 0.9249 0.5751  2 O 2.64, 2 S 2.69, 4 Ag 2.85-2.95
Ag: 0.9469 0.4735 0.7235  2 O 2.25, 1 S 2.34
Ag: 0.9502 0.9751 0.7251  1 S 2.50
Ag: 0.7500 0.0751 0.8251  2 O 2.64, 2 S 2.69, 4 Ag 2.85-2.95
Ag: 0.7500 0.6749 0.8251  2 O 2.64, 2 S 2.69, 4 Ag 2.85-2.95
Ag: 0.4469 0.2235 0.9735  2 O 2.25, 1 S 2.34
O: 0.3609 0.6804 0.1004  1 Si 1.65
O: 0.8609 0.2605 0.1804  1 Si 1.65
O: 0.8609 0.6004 0.1804  1 Si 1.65
O: 0.6391 0.3196 0.2395  1 Si 1.65
O: 0.3609 0.6804 0.7605  1 Si 1.65
O: 0.1391 0.3996 0.8196  1 Si 1.65
O: 0.1391 0.7395 0.8196  1 Si 1.65
O: 0.6391 0.3196 0.8996  1 Si 1.65
S: 0.7934 0.8967 0.1467  2 Ag 2.34-2.50, 2 O 2.52
S: 0.2934 0.6467 0.3967  2 Ag 2.34-2.50, 2 O 2.52
S: 0.7066 0.3533 0.6033  2 Ag 2.34-2.50, 2 O 2.52
S: 0.2066 0.1033 0.8533  2 Ag 2.34-2.50, 2 O 2.52
Si: 0.7500 0.3750 0.1250  4 O 1.65
Si: 0.2500 0.6250 0.8750  4 O 1.65

Values from the calculation:
The value obtained for the electronic total energy is -4.103 eV per atom. Its symmetry is No. 141.

=====

No. 9
# GdPuCo4

Crystalline GdPuCo4 at its relaxed geometry (PBE, OQMD via LeMat-Bulk).

abc: 5.0334 5.0334 5.0334
angles: 60.00 60.00 60.00
With the nearest neighbours (Å) after each atom.
Fractional coordinates of all 6 atoms:
Co: 0.6244 0.6244 0.1268  6 Co 2.50-2.53
Co: 0.6244 0.1268 0.6244  6 Co 2.50-2.53
Co: 0.1268 0.6244 0.6244  6 Co 2.50-2.53
Co: 0.6244 0.6244 0.6244  6 Co 2.50-2.53
Gd: 0.0000 0.0000 0.0000  12 Co 2.95, 4 Pu 3.08
Pu: 0.2500 0.2500 0.2500  12 Co 2.95, 4 Gd 3.08

Values from the calculation:
The formation energy comes out at 0.124 eV per atom. The spin magnetization comes out at 0.62 μB/f.u. Its symmetry is No. 216.

=====

No. 10
# SmMgCuTe3

Crystalline SmMgCuTe3 at its relaxed geometry (PBE, OQMD via LeMat-Bulk).

abc: 7.2932 7.2932 11.4868
angles: 90.00 90.00 33.07
With the nearest neighbours (Å) after each atom.
Fractional coordinates of all 12 atoms:
Cu: 0.4768 0.4768 0.2500  4 Te 2.65-2.70
Cu: 0.5232 0.5232 0.7500  4 Te 2.65-2.70
Mg: 0.7727 0.7727 0.2500  6 Te 3.03-3.19
Mg: 0.2273 0.2273 0.7500  6 Te 3.03-3.19
Sm: 0.0000 0.0000 0.0000  6 Te 3.11-3.19
Sm: 0.0000 0.0000 0.5000  6 Te 3.11-3.19
Te: 0.3483 0.3483 0.0810  1 Cu 2.65
Te: 0.0999 0.0999 0.2500  2 Cu 2.70
Te: 0.3483 0.3483 0.4190  1 Cu 2.65
Te: 0.6517 0.6517 0.5810  1 Cu 2.65
Te: 0.9001 0.9001 0.7500  2 Cu 2.70
Te: 0.6517 0.6517 0.9190  1 Cu 2.65

Values from the calculation:
The value obtained for the electronic total energy is -4.036 eV per atom. The spin magnetization comes out at 0.00 μB/f.u. Its symmetry is No. 63.

=====

No. 11
# HgBi2Se4

Crystalline HgBi2Se4 at its relaxed geometry (PBE, OQMD via LeMat-Bulk).

abc: 7.7241 7.7241 14.8251
angles: 117.39 117.39 31.81
With the nearest neighbours (Å) after each atom.
Fractional coordinates of all 14 atoms:
Bi: 0.3479 0.3479 0.1368  5 Se 2.76-2.98
Bi: 0.2241 0.2241 0.3704  5 Se 2.80-3.03
Bi: 0.7759 0.7759 0.6296  5 Se 2.80-3.03
Bi: 0.6521 0.6521 0.8632  5 Se 2.76-2.98
Hg: 0.0000 0.0000 0.0000  2 Se 2.54
Hg: 0.0000 0.0000 0.5000  2 Se 2.54
Se: 0.6874 0.6874 0.0638  3 Bi 2.76-2.98
Se: 0.0031 0.0031 0.1728  1 Hg 2.54
Se: 0.8426 0.8426 0.3242  1 Hg 2.54
Se: 0.6216 0.6216 0.4245  3 Bi 2.80-2.94
Se: 0.3784 0.3784 0.5755  3 Bi 2.80-2.94
Se: 0.1574 0.1574 0.6758  1 Hg 2.54
Se: 0.9969 0.9969 0.8272  1 Hg 2.54
Se: 0.3126 0.3126 0.9362  3 Bi 2.76-2.98

Values from the calculation:
The value obtained for the electronic total energy is -3.518 eV per atom. Its symmetry is No. 12.

=====

No. 12
# LaNd2Sn4Pd4

Crystalline LaNd2Sn4Pd4 at its relaxed geometry (PBE, OQMD via LeMat-Bulk).

abc: 13.8170 13.8170 13.8170
angles: 162.61 160.33 26.37
With the nearest neighbours (Å) after each atom.
Fractional coordinates of all 11 atoms:
La: 0.0000 0.0000 0.0000  4 Pd 3.33, 8 Sn 3.46
Nd: 0.6501 0.1501 0.5000  6 Pd 3.28-3.47, 6 Sn 3.34-3.37
Nd: 0.3499 0.8499 0.5000  6 Pd 3.28-3.47, 6 Sn 3.34-3.37
Pd: 0.2559 0.2559 0.0000  4 Sn 2.66-2.71
Pd: 0.7441 0.7441 0.0000  4 Sn 2.66-2.71
Pd: 0.9034 0.4034 0.5000  3 Sn 2.63
Pd: 0.0966 0.5966 0.5000  3 Sn 2.63
Sn: 0.4468 0.4468 0.0000  2 Pd 2.63, 1 Sn 2.86
Sn: 0.5532 0.5532 0.0000  2 Pd 2.63, 1 Sn 2.86
Sn: 0.8056 0.3056 0.5000  5 Pd 2.63-2.71
Sn: 0.1944 0.6944 0.5000  5 Pd 2.63-2.71

Values from the calculation:
The value obtained for the electronic total energy is -5.461 eV per atom. The spin magnetization comes out at 0.01 μB/f.u. Its symmetry is No. 71.